## w
# GGA-PBE Y2HoTe4, optimized geometry
data_Y2HoTe4
_chemical_formula_sum 'Y8 Ho4 Te16'
_symmetry_space_group_name_H-M 'C m c m'
_symmetry_Int_Tables_number 63
_symmetry_space_group_name_Hall '-C 2c 2'
_cell_length_a 4.231
_cell_length_b 14.331
_cell_length_c 14.952
_cell_angle_alpha 90.00
_cell_angle_beta 90.00
_cell_angle_gamma 90.00
loop_
_atom_site_label
_atom_site_fract_x
_atom_site_fract_y
_atom_site_fract_z
Y1 0.000 0.131 0.070
Ho1 0.000 0.372 0.250
Te1 0.000 0.029 0.250
Te2 0.000 0.221 0.623
Te3 0.000 0.500 0.000
# **Theoretical density**: 6.25 g/cm³
# **D(E_F)**: 0.4325 states/eV/atom
# **Crystal system**: orthorhombic

***

## x
# GGA-PBE Y2HoTe4, optimized geometry
data_Y2HoTe4
_chemical_formula_sum 'Y4 Ho2 Te8'
_symmetry_space_group_name_H-M 'C 1 2/m 1'
_symmetry_Int_Tables_number 12
_symmetry_space_group_name_Hall '-C 2y'
_cell_length_a 16.229
_cell_length_b 4.339
_cell_length_c 7.578
_cell_angle_alpha 90.00
_cell_angle_beta 117.47
_cell_angle_gamma 90.00
loop_
_atom_site_label
_atom_site_fract_x
_atom_site_fract_y
_atom_site_fract_z
Y1 0.244 0.000 0.229
Ho1 0.000 0.500 0.500
Te1 0.119 0.500 0.950
Te2 0.128 0.000 0.466
# **Theoretical density**: 5.99 g/cm³
# **D(E_F)**: 0.4781 states/eV/atom
# **Crystal system**: monoclinic

***

Relative energy table, unit meV per atom: w 46; x 0

***

## w
# GGA-PBE YHo6Te8, optimized geometry
data_YHo6Te8
_chemical_formula_sum 'Y4 Ho24 Te32'
_symmetry_space_group_name_H-M 'F m -3 m'
_symmetry_Int_Tables_number 225
_symmetry_space_group_name_Hall '-F 4 2 3'
_cell_length_a 12.226
_cell_length_b 12.226
_cell_length_c 12.226
_cell_angle_alpha 90.00
_cell_angle_beta 90.00
_cell_angle_gamma 90.00
loop_
_atom_site_label
_atom_site_fract_x
_atom_site_fract_y
_atom_site_fract_z
Y1 0.000 0.000 0.000
Ho1 0.000 0.250 0.250
Te1 0.000 0.000 0.257
Te2 0.250 0.250 0.250
# **Theoretical density**: 7.63 g/cm³
# **D(E_F)**: 0.4506 states/eV/atom
# **Crystal system**: cubic

***

## x
# GGA-PBE YHo6Te8, optimized geometry
data_YHo6Te8
_chemical_formula_sum 'Y3 Ho18 Te24'
_symmetry_space_group_name_H-M 'R -3'
_symmetry_Int_Tables_number 148
_symmetry_space_group_name_Hall '-R 3'
_cell_length_a 11.4528
_cell_length_b 11.4528
_cell_length_c 13.5923
_cell_angle_alpha 90.00
_cell_angle_beta 90.00
_cell_angle_gamma 120.00
loop_
_atom_site_label
_atom_site_fract_x
_atom_site_fract_y
_atom_site_fract_z
Y1 0.0000 0.0000 0.0000
Ho1 0.0278 0.8312 0.3910
Te1 0.0000 0.0000 0.2288
Te2 0.0055 0.3917 0.7439
# **Theoretical density**: 6.77 g/cm³
# **D(E_F)**: 0.7968 states/eV/atom
# **Crystal system**: trigonal

***

Relative energy table, unit meV per atom: w 0; x 285

***

## w
# GGA-PBE YHo2Te4, optimized geometry
data_YHo2Te4
_chemical_formula_sum 'Y4 Ho8 Te16'
_symmetry_space_group_name_H-M 'C m c m'
_symmetry_Int_Tables_number 63
_symmetry_space_group_name_Hall '-C 2c 2'
_cell_length_a 4.231
_cell_length_b 14.279
_cell_length_c 14.912
_cell_angle_alpha 90.00
_cell_angle_beta 90.00
_cell_angle_gamma 90.00
loop_
_atom_site_label
_atom_site_fract_x
_atom_site_fract_y
_atom_site_fract_z
Y1 0.000 0.128 0.250
Ho1 0.000 0.369 0.070
Te1 0.000 0.000 0.000
Te2 0.000 0.278 0.622
Te3 0.000 0.469 0.250
# **Theoretical density**: 6.85 g/cm³
# **D(E_F)**: 0.4299 states/eV/atom
# **Crystal system**: orthorhombic

***

## x
# GGA-PBE YHo2Te4, optimized geometry
data_YHo2Te4
_chemical_formula_sum 'Y2 Ho4 Te8'
_symmetry_space_group_name_H-M 'C 1 2/m 1'
_symmetry_Int_Tables_number 12
_symmetry_space_group_name_Hall '-C 2y'
_cell_length_a 16.250
_cell_length_b 4.336
_cell_length_c 7.555
_cell_angle_alpha 90.00
_cell_angle_beta 117.33
_cell_angle_gamma 90.00
loop_
_atom_site_label
_atom_site_fract_x
_atom_site_fract_y
_atom_site_fract_z
Y1 0.000 0.000 0.000
Ho1 0.244 0.500 0.730
Te1 0.121 0.000 0.453
Te2 0.130 0.500 0.967
# **Theoretical density**: 6.53 g/cm³
# **D(E_F)**: 0.4712 states/eV/atom
# **Crystal system**: monoclinic

***

Relative energy table, unit meV per atom: w 44; x 0

***

## w
# GGA-PBE Ho4ZnTe, optimized geometry
data_Ho4ZnTe
_chemical_formula_sum 'Ho16 Zn4 Te4'
_symmetry_space_group_name_H-M 'P n m a'
_symmetry_Int_Tables_number 62
_symmetry_space_group_name_Hall '-P 2ac 2n'
_cell_length_a 8.378
_cell_length_b 3.895
_cell_length_c 19.682
_cell_angle_alpha 90.00
_cell_angle_beta 90.00
_cell_angle_gamma 90.00
loop_
_atom_site_label
_atom_site_fract_x
_atom_site_fract_y
_atom_site_fract_z
Ho1 0.013 0.250 0.218
Ho2 0.022 0.250 0.929
Ho3 0.121 0.250 0.440
Ho4 0.165 0.250 0.654
Zn1 0.245 0.750 0.545
Te1 0.214 0.750 0.313
# **Theoretical density**: 8.82 g/cm³
# **D(E_F)**: 1.0659 states/eV/atom
# **Crystal system**: orthorhombic

***

## x
# GGA-PBE Ho4ZnTe, optimized geometry
data_Ho4ZnTe
_chemical_formula_sum 'Ho8 Zn2 Te2'
_symmetry_space_group_name_H-M 'P 1 21/m 1'
_symmetry_Int_Tables_number 11
_symmetry_space_group_name_Hall '-P 2yb'
_cell_length_a 5.854
_cell_length_b 8.423
_cell_length_c 7.658
_cell_angle_alpha 90.00
_cell_angle_beta 105.16
_cell_angle_gamma 90.00
loop_
_atom_site_label
_atom_site_fract_x
_atom_site_fract_y
_atom_site_fract_z
Ho1 0.019 0.053 0.236
Ho2 0.412 0.250 0.003
Ho3 0.428 0.750 0.504
Zn1 0.146 0.750 0.087
Te1 0.108 0.250 0.587
# **Theoretical density**: 7.77 g/cm³
# **D(E_F)**: 0.9639 states/eV/atom
# **Crystal system**: monoclinic

***

Relative energy table, unit meV per atom: w 0; x 237

***

## w
# GGA-PBE Ho3ZnTe2, optimized geometry
data_Ho3ZnTe2
_chemical_formula_sum 'Ho6 Zn2 Te4'
_symmetry_space_group_name_H-M 'C m m m'
_symmetry_Int_Tables_number 65
_symmetry_space_group_name_Hall '-C 2 2'
_cell_length_a 6.018
_cell_length_b 14.364
_cell_length_c 4.326
_cell_angle_alpha 90.00
_cell_angle_beta 90.00
_cell_angle_gamma 90.00
loop_
_atom_site_label
_atom_site_fract_x
_atom_site_fract_y
_atom_site_fract_z
Ho1 0.000 0.000 0.000
Ho2 0.000 0.369 0.500
Zn1 0.000 0.500 0.000
Te1 0.000 0.155 0.500
# **Theoretical density**: 7.24 g/cm³
# **D(E_F)**: 0.7650 states/eV/atom
# **Crystal system**: orthorhombic

***

## x
# GGA-PBE Ho3ZnTe2, optimized geometry
data_Ho3ZnTe2
_chemical_formula_sum 'Ho6 Zn2 Te4'
_symmetry_space_group_name_H-M 'I m m m'
_symmetry_Int_Tables_number 71
_symmetry_space_group_name_Hall '-I 2 2'
_cell_length_a 4.121
_cell_length_b 6.067
_cell_length_c 13.282
_cell_angle_alpha 90.00
_cell_angle_beta 90.00
_cell_angle_gamma 90.00
loop_
_atom_site_label
_atom_site_fract_x
_atom_site_fract_y
_atom_site_fract_z
Ho1 0.000 0.000 0.000
Ho2 0.000 0.000 0.346
Zn1 0.000 0.500 0.000
Te1 0.000 0.500 0.327
# **Theoretical density**: 8.15 g/cm³
# **D(E_F)**: 0.5625 states/eV/atom
# **Crystal system**: orthorhombic

***

Relative energy table, unit meV per atom: w 139; x 0

***

## w
# GGA-PBE Ho5Th4, optimized geometry
data_Ho5Th4
_chemical_formula_sum 'Ho10 Th8'
_symmetry_space_group_name_H-M 'I 4/m m m'
_symmetry_Int_Tables_number 139
_symmetry_space_group_name_Hall '-I 4 2'
_cell_length_a 12.574
_cell_length_b 12.574
_cell_length_c 3.621
_cell_angle_alpha 90.00
_cell_angle_beta 90.00
_cell_angle_gamma 90.00
loop_
_atom_site_label
_atom_site_fract_x
_atom_site_fract_y
_atom_site_fract_z
Ho1 0.000 0.000 0.000
Ho2 0.167 0.167 0.500
Th1 0.000 0.336 0.000
# **Theoretical density**: 10.17 g/cm³
# **D(E_F)**: 1.7126 states/eV/atom
# **Crystal system**: tetragonal

***

## x
# GGA-PBE Ho5Th4, optimized geometry
data_Ho5Th4
_chemical_formula_sum 'Ho10 Th8'
_symmetry_space_group_name_H-M 'I 4/m m m'
_symmetry_Int_Tables_number 139
_symmetry_space_group_name_Hall '-I 4 2'
_cell_length_a 10.643
_cell_length_b 10.643
_cell_length_c 5.034
_cell_angle_alpha 90.00
_cell_angle_beta 90.00
_cell_angle_gamma 90.00
loop_
_atom_site_label
_atom_site_fract_x
_atom_site_fract_y
_atom_site_fract_z
Ho1 0.000 0.000 0.000
Ho2 0.000 0.329 0.000
Th1 0.166 0.166 0.500
# **Theoretical density**: 10.21 g/cm³
# **D(E_F)**: 1.5888 states/eV/atom
# **Crystal system**: tetragonal

***

Relative energy table, unit meV per atom: w 87; x 0